# 1
{"formula": "RbSr3Pd", "functional": "PBE-GGA", "state": "optimized geometry", "lattice_angstrom": [[5.031, 0.000, 0.000], [0.000, 5.031, 0.000], [0.000, 0.000, 11.609]], "species": ["Sr", "Sr", "Sr", "Pd", "Rb"], "frac_coords": [[0.500, 0.000, 0.437], [0.000, 0.500, 0.437], [0.000, 0.000, 0.701], [0.500, 0.500, 0.594], [0.000, 0.000, 0.095]], "m_tot_mub_per_cell": 0.000, "formation_energy_mev_per_atom": 1, "dft_energy_ev_per_cell": -11.2, "volume_a3_per_atom": 58.76}



# 2
{"formula": "RbSr2Pd", "functional": "PBE-GGA", "state": "optimized geometry", "lattice_angstrom": [[3.935, 0.000, 0.000], [0.000, 3.935, 0.000], [0.000, 0.000, 11.389]], "species": ["Sr", "Sr", "Rb", "Pd"], "frac_coords": [[0.000, 0.000, 0.154], [0.000, 0.000, 0.846], [0.500, 0.500, 0.500], [0.500, 0.500, 0.000]], "m_tot_mub_per_cell": 0.000, "formation_energy_mev_per_atom": -223, "dft_energy_ev_per_cell": -10.4, "volume_a3_per_atom": 44.09}